Record 1
La6GaCu2 | PBE-GGA | optimized geometry

The calculation puts the calculated density at 6.43 Mg/m³. The formation energy comes out at -182 meV per atom. For the raw total energy, the calculation gives -169.7 eV for the cell shown.

The structure belongs to space group Immm (No. 71); the cell edges are 9.7783, 10.4069 and 10.4550 Å and the angles 90.00°, 90.00° and 90.00°. The asymmetric unit holds La at (0.0000, 0.1925, 0.2422), La at (0.2059, 0.5000, 0.1746), La at (0.2269, 0.3203, 0.5000), Ga at (0.0000, 0.0000, 0.0000), Ga at (0.0000, 0.0000, 0.5000), Cu at (0.0000, 0.3594, 0.0000) and Cu at (0.0000, 0.5000, 0.3805).

=====

Record 2
Tl2CuW | PBE-GGA | optimized geometry

The calculation puts the calculated density at 13.47 Mg/m³. Its polymorph energy (0 for the lowest one) is 31.2 kJ per mole of atoms. The formation energy comes out at 966 meV per atom. For the raw total energy, the calculation gives -17.9 eV for the cell shown.

The structure belongs to space group Pmmm (No. 47); the cell edges are 2.9680, 4.9766 and 5.4761 Å and the angles 90.00°, 90.00° and 90.00°. The asymmetric unit holds Tl at (0.0000, 0.0000, 0.0000), Tl at (0.5000, 0.0000, 0.5000), Cu at (0.0000, 0.5000, 0.5000) and W at (0.5000, 0.5000, 0.0000).

=====

Record 3
BaRuW2 | PBE-GGA | optimized geometry

The calculation puts the calculated density at 12.49 Mg/m³. Its polymorph energy (0 for the lowest one) is 80.5 kJ per mole of atoms. The formation energy comes out at 1550 meV per atom. For the raw total energy, the calculation gives -30.9 eV for the cell shown.

The structure belongs to space group P4/mmm (No. 123); the cell edges are 3.8791, 3.8791 and 5.3539 Å and the angles 90.00°, 90.00° and 90.00°. The asymmetric unit holds Ba at (0.0000, 0.0000, 0.0000), Ru at (0.5000, 0.5000, 0.0000) and W at (0.0000, 0.5000, 0.5000).

=====

Record 4
LaPrTmAg | PBE-GGA | optimized geometry

The calculation puts the calculated density at 7.73 Mg/m³. Its polymorph energy (0 for the lowest one) is 16.2 kJ per mole of atoms. The formation energy comes out at 40 meV per atom. For the raw total energy, the calculation gives -67.5 eV for the cell shown.

The structure belongs to space group F-43m (No. 216); the cell edges are 7.8188, 7.8188 and 7.8188 Å and the angles 90.00°, 90.00° and 90.00°. The asymmetric unit holds La at (0.0000, 0.0000, 0.0000), Pr at (0.0000, 0.0000, 0.5000), Tm at (0.2500, 0.2500, 0.2500) and Ag at (0.2500, 0.2500, 0.7500).

=====

What did the third record say?
BaRuW2 | PBE-GGA | optimized geometry

The calculation puts the calculated density at 12.49 Mg/m³. Its polymorph energy (0 for the lowest one) is 80.5 kJ per mole of atoms. The formation energy comes out at 1550 meV per atom. For the raw total energy, the calculation gives -30.9 eV for the cell shown.

The structure belongs to space group P4/mmm (No. 123); the cell edges are 3.8791, 3.8791 and 5.3539 Å and the angles 90.00°, 90.00° and 90.00°. The asymmetric unit holds Ba at (0.0000, 0.0000, 0.0000), Ru at (0.5000, 0.5000, 0.0000) and W at (0.0000, 0.5000, 0.5000).

=====

Repeat the fourth record exactly.
LaPrTmAg | PBE-GGA | optimized geometry

The calculation puts the calculated density at 7.73 Mg/m³. Its polymorph energy (0 for the lowest one) is 16.2 kJ per mole of atoms. The formation energy comes out at 40 meV per atom. For the raw total energy, the calculation gives -67.5 eV for the cell shown.

The structure belongs to space group F-43m (No. 216); the cell edges are 7.8188, 7.8188 and 7.8188 Å and the angles 90.00°, 90.00° and 90.00°. The asymmetric unit holds La at (0.0000, 0.0000, 0.0000), Pr at (0.0000, 0.0000, 0.5000), Tm at (0.2500, 0.2500, 0.2500) and Ag at (0.2500, 0.2500, 0.7500).

=====

Please write out number 1 again, unchanged.
La6GaCu2 | PBE-GGA | optimized geometry

The calculation puts the calculated density at 6.43 Mg/m³. The formation energy comes out at -182 meV per atom. For the raw total energy, the calculation gives -169.7 eV for the cell shown.

The structure belongs to space group Immm (No. 71); the cell edges are 9.7783, 10.4069 and 10.4550 Å and the angles 90.00°, 90.00° and 90.00°. The asymmetric unit holds La at (0.0000, 0.1925, 0.2422), La at (0.2059, 0.5000, 0.1746), La at (0.2269, 0.3203, 0.5000), Ga at (0.0000, 0.0000, 0.0000), Ga at (0.0000, 0.0000, 0.5000), Cu at (0.0000, 0.3594, 0.0000) and Cu at (0.0000, 0.5000, 0.3805).

=====

> Which of these has the highest formation energy?

BaRuW2